# 1
Compound: La4PdO7
Source: Alexandria via LeMat-Bulk
Functional: PBE
Structure: relaxed Values from VASP.

Values from the calculation:
density of states at the Fermi level = 0.32 states/eV per cell
raw formation energy = -68.118 kcal/mol of atoms
space-group type = C2/m, No. 12

Geometry as Quantum ESPRESSO input:
```
&SYSTEM
  ibrav = 0, nat = 12, ntyp = 3
/
ATOMIC_SPECIES
O 16.00 O.upf
La 138.91 La.upf
Pd 106.42 Pd.upf
CELL_PARAMETERS angstrom
-3.767 4.870 3.337
-6.339 2.840 0.890
-6.141 -0.781 7.102
ATOMIC_POSITIONS angstrom
O -1.584 0.612 1.157
O -8.274 4.632 4.855
La -9.664 4.028 6.816
La -12.733 5.125 9.132
O -14.663 6.318 10.172
Pd 0.000 0.000 0.000
La -3.514 1.805 2.197
O -4.793 1.209 4.034
O -5.053 3.855 2.113
O -7.973 2.298 6.474
La -6.583 2.902 4.513
O -11.454 5.721 7.295
```

# 2
Compound: La2Pd2O5
Source: Alexandria via LeMat-Bulk
Functional: PBE
Structure: relaxed Values from VASP.

Values from the calculation:
raw formation energy = -50.275 kcal/mol of atoms
space-group type = P4_2/m, No. 84

Geometry as Quantum ESPRESSO input:
```
&SYSTEM
  ibrav = 0, nat = 18, ntyp = 3
/
ATOMIC_SPECIES
O 16.00 O.upf
La 138.91 La.upf
Pd 106.42 Pd.upf
CELL_PARAMETERS angstrom
6.751 0.000 0.000
0.000 6.751 0.000
0.000 0.000 5.671
ATOMIC_POSITIONS angstrom
O 0.000 0.000 1.418
O 5.404 2.726 4.298
O 2.726 1.347 1.463
O 2.726 1.347 4.208
La 1.767 6.020 2.835
O 1.347 4.025 4.298
La 0.730 1.767 0.000
O 5.404 2.726 1.372
Pd 2.087 2.738 2.835
La 4.984 0.730 2.835
La 6.020 4.984 0.000
Pd 4.012 2.087 0.000
Pd 4.663 4.012 2.835
Pd 2.738 4.663 0.000
O 0.000 0.000 4.253
O 4.025 5.404 1.463
O 4.025 5.404 4.208
O 1.347 4.025 1.372
```

# 3
Compound: LaPdO2
Source: Alexandria via LeMat-Bulk
Functional: PBE
Structure: relaxed Values from VASP.

Values from the calculation:
density of states at the Fermi level = 3.46 states/eV per cell
raw formation energy = -38.718 kcal/mol of atoms
space-group type = Fm-3m, No. 225

Geometry as Quantum ESPRESSO input:
```
&SYSTEM
  ibrav = 0, nat = 4, ntyp = 3
/
ATOMIC_SPECIES
O 16.00 O.upf
La 138.91 La.upf
Pd 106.42 Pd.upf
CELL_PARAMETERS angstrom
0.000 3.023 3.023
3.023 0.000 3.023
3.023 3.023 0.000
ATOMIC_POSITIONS angstrom
O 4.535 4.535 4.535
La 3.023 3.023 3.023
O 1.512 1.512 1.512
Pd 0.000 0.000 0.000
```

# 4
Compound: La2PdO4
Source: Alexandria via LeMat-Bulk
Functional: PBE
Structure: relaxed Values from VASP.

Values from the calculation:
relative energy among the computed polymorphs = 0.032 eV per atom
density of states at the Fermi level = 4.81 states/eV per cell
raw formation energy = -59.448 kcal/mol of atoms
space-group type = I4/mmm, No. 139

Geometry as Quantum ESPRESSO input:
```
&SYSTEM
  ibrav = 0, nat = 7, ntyp = 3
/
ATOMIC_SPECIES
Pd 106.42 Pd.upf
La 138.91 La.upf
O 16.00 O.upf
CELL_PARAMETERS angstrom
-6.840 0.293 -1.150
-5.254 -3.298 3.117
5.819 3.671 0.926
ATOMIC_POSITIONS angstrom
Pd 0.000 0.000 0.000
La -4.215 -1.047 0.685
O -3.534 1.231 0.380
O -2.741 -0.564 2.513
La -7.879 -1.958 1.282
O -0.511 1.982 -0.112
O 0.282 0.187 2.022
```

# 5
Compound: La2PdO
Source: Alexandria via LeMat-Bulk
Functional: PBE
Structure: relaxed Values from VASP.

Values from the calculation:
density of states at the Fermi level = 3.48 states/eV per cell
raw formation energy = -37.332 kcal/mol of atoms
space-group type = R-3m, No. 166

Geometry as Quantum ESPRESSO input:
```
&SYSTEM
  ibrav = 0, nat = 4, ntyp = 3
/
ATOMIC_SPECIES
Pd 106.42 Pd.upf
La 138.91 La.upf
O 16.00 O.upf
CELL_PARAMETERS angstrom
-1.183 2.016 -3.099
-2.849 -1.384 -2.244
-5.987 3.463 2.107
ATOMIC_POSITIONS angstrom
Pd 0.000 0.000 0.000
La -7.325 2.939 -2.584
O -5.009 2.047 -1.618
La -2.693 1.156 -0.651
```

# 6
Compound: La3PdO
Source: Alexandria via LeMat-Bulk
Functional: PBE
Structure: relaxed Values from VASP.

Values from the calculation:
density of states at the Fermi level = 7.03 states/eV per cell
raw formation energy = -29.729 kcal/mol of atoms
space-group type = Pm-3m, No. 221

Geometry as Quantum ESPRESSO input:
```
&SYSTEM
  ibrav = 0, nat = 5, ntyp = 3
/
ATOMIC_SPECIES
La 138.91 La.upf
Pd 106.42 Pd.upf
O 16.00 O.upf
CELL_PARAMETERS angstrom
-3.830 2.874 1.394
-3.076 -2.731 -2.820
-0.862 -3.025 3.870
ATOMIC_POSITIONS angstrom
La -1.915 1.437 0.697
La -1.538 -1.365 -1.410
Pd -3.884 -1.441 1.222
O 0.000 0.000 0.000
La -0.431 -1.513 1.935
```